(1)
First-principles (meta-GGA SCAN) data for a PBEsol-optimized structure of TlIr2Os, as listed in the Alexandria database.

The structure in extended XYZ format:
```
4
Lattice="3.998 0.000 0.000 0.000 3.998 0.000 -1.999 -1.999 3.889" Properties=species:S:1:pos:R:3 pbc="T T T"
Os 1.999 1.999 0.000
Ir 1.999 0.000 1.944
Ir 0.000 0.000 0.000
Tl 0.000 1.999 1.944
```

- energy above the lowest structure with this stoichiometry (eV/f.u.) = 0.00
- energy relative to the elements (eV/atom) = 0.70
- crystal system = tetragonal

(2)
First-principles (meta-GGA SCAN) data for a PBEsol-optimized structure of Tl2IrOs, as listed in the Alexandria database.

The structure in extended XYZ format:
```
4
Lattice="3.032 0.000 0.000 0.000 4.556 0.000 0.000 0.000 5.221" Properties=species:S:1:pos:R:3 pbc="T T T"
Tl 1.516 0.000 2.610
Ir 1.516 2.278 0.000
Os 0.000 2.278 2.610
Tl 0.000 0.000 0.000
```

- energy above the lowest structure with this stoichiometry (eV/f.u.) = 0.00
- energy relative to the elements (eV/atom) = 1.04
- crystal system = orthorhombic

(3)
First-principles (meta-GGA SCAN) data for a PBEsol-optimized structure of K2LiCa, as listed in the Alexandria database.

The structure in extended XYZ format:
```
4
Lattice="-4.555 2.503 -1.532 -2.900 -3.406 3.058 4.264 4.506 4.262" Properties=species:S:1:pos:R:3 pbc="T T T"
K -2.009 3.278 1.746
Li -3.727 -0.452 0.763
Ca 0.000 0.000 0.000
K -1.181 0.324 4.041
```

- energy relative to the elements (eV/atom) = 0.21
- crystal system = tetragonal

(4)
First-principles (meta-GGA SCAN) data for a PBEsol-optimized structure of Nb3AlCu, as listed in the Alexandria database.

The structure in extended XYZ format:
```
5
Lattice="4.639 0.000 0.000 0.000 4.639 0.000 0.000 0.000 4.639" Properties=species:S:1:pos:R:3 pbc="T T T"
Nb 0.000 2.320 0.000
Nb 2.320 0.000 0.000
Cu 2.320 2.320 2.320
Nb 0.000 0.000 2.320
Al 0.000 0.000 0.000
```

- energy relative to the elements (eV/atom) = 1.37
- crystal system = cubic

(5)
First-principles (meta-GGA SCAN) data for a PBEsol-optimized structure of TlSN2F, as listed in the Alexandria database.

The structure in extended XYZ format:
```
5
Lattice="-2.701 1.813 -2.915 -3.254 -0.171 2.909 1.336 4.853 1.780" Properties=species:S:1:pos:R:3 pbc="T T T"
S 0.668 2.426 0.890
N -1.351 0.906 -1.457
F -2.310 3.247 0.887
N -1.627 -0.086 1.454
Tl 0.000 0.000 0.000
```

- energy above the lowest structure with this stoichiometry (eV/f.u.) = 5.50
- E_form (uncorrected) (meV per atom) = 1789
- crystal system = tetragonal

(6)
First-principles (meta-GGA SCAN) data for a PBEsol-optimized structure of TcTePt, as listed in the Alexandria database.

The structure in extended XYZ format:
```
3
Lattice="2.996 0.000 0.000 0.000 2.996 0.000 -1.498 -1.498 5.963" Properties=species:S:1:pos:R:3 pbc="T T T"
Te 0.000 0.000 3.710
Pt 0.000 0.000 0.277
Tc 1.498 1.498 1.976
```

- energy above the lowest structure with this stoichiometry (eV/f.u.) = 0.00
- E_form (uncorrected) (meV per atom) = 333
- crystal system = tetragonal